Compound: CaTaRe2
Source: the Alexandria database
Functional: PBE-GGA
Structure: optimized geometry Values from VASP.

```
&SYSTEM
  ibrav = 0, nat = 4, ntyp = 3
/
ATOMIC_SPECIES
Re 186.21 Re.upf
Ca 40.08 Ca.upf
Ta 180.95 Ta.upf
CELL_PARAMETERS angstrom
-2.4644 0.8368 -1.7053
-2.9066 -1.8541 3.2908
-0.1311 4.1994 2.2502
ATOMIC_POSITIONS crystal
Re 0.0000 0.0000 0.0000
Re 0.0000 0.5000 0.5000
Ca 0.5000 0.0000 0.5000
Ta 0.5000 0.5000 0.0000
```

Output
Final energy ... -9.062 eV per atom
Crystal system ... tetragonal
SG ... P4/mmm (123)
Total moment ... 0.00 Bohr magnetons per cell
Formation enthalpy at 0 K ... 2.5 eV per formula unit
ΔE to the lowest computed polymorph ... 293 meV/atom



Compound: CaTaRe2
Source: the Alexandria database
Functional: PBE-GGA
Structure: optimized geometry Values from VASP.

```
&SYSTEM
  ibrav = 0, nat = 4, ntyp = 3
/
ATOMIC_SPECIES
Ta 180.95 Ta.upf
Re 186.21 Re.upf
Ca 40.08 Ca.upf
CELL_PARAMETERS angstrom
10.1352 0.0158 0.0093
9.7164 2.8833 0.0093
9.7164 1.4190 2.5100
ATOMIC_POSITIONS crystal
Ta 0.5086 0.5086 0.5086
Re 0.9909 0.9909 0.9909
Re 0.2552 0.2552 0.2552
Ca 0.7453 0.7453 0.7453
```

Output
Final energy ... -9.146 eV per atom
Crystal system ... trigonal
SG ... R3m (160)
Total moment ... 0.00 Bohr magnetons per cell
Formation enthalpy at 0 K ... 2.2 eV per formula unit
ΔE to the lowest computed polymorph ... 209 meV/atom



Compound: Ca2Ta2Re
Source: the Alexandria database
Functional: PBE-GGA
Structure: optimized geometry Values from VASP.

```
&SYSTEM
  ibrav = 0, nat = 5, ntyp = 3
/
ATOMIC_SPECIES
Ta 180.95 Ta.upf
Re 186.21 Re.upf
Ca 40.08 Ca.upf
CELL_PARAMETERS angstrom
-1.8077 1.8077 9.9925
1.8077 -1.8077 9.9925
1.8077 1.8077 -9.9925
ATOMIC_POSITIONS crystal
Ta 0.7500 0.2500 0.5000
Ta 0.2500 0.7500 0.5000
Re 0.0000 0.0000 0.0000
Ca 0.5929 0.5929 0.0000
Ca 0.4071 0.4071 0.0000
```

Output
Final energy ... -6.790 eV per atom
Crystal system ... tetragonal
SG ... I4/mmm (139)
Total moment ... 2.02 Bohr magnetons per cell
Formation enthalpy at 0 K ... 6.2 eV per formula unit



Q: Which of these has the highest final energy?
A: Ca2Ta2Re